Record 1
Below is a crystal of Cs relaxed with PBEsol, with properties calculated at the SCAN level.

Cell: 18.493 18.493 18.493 Å, 90.00 90.00 90.00°
Space group I-43m (No. 217)
Inequivalent atoms, fractional coordinates:
Cs 0.000 0.000 0.000
Cs 0.044 0.362 0.638
Cs 0.093 0.093 0.717
Cs 0.181 0.181 0.181

Values from the calculation:
Energy of formation from the pure elements in eV per atom: 0.01

=====

Record 2
Below is a crystal of Hf2ReNi relaxed with PBEsol, with properties calculated at the SCAN level.

Cell: 6.391 6.391 6.391 Å, 90.00 90.00 90.00°
Space group Fm-3m (No. 225)
Inequivalent atoms, fractional coordinates:
Hf 0.250 0.250 0.250
Re 0.000 0.000 0.000
Ni 0.000 0.000 0.500

Values from the calculation:
Energy of formation from the pure elements in eV per atom: -0.52

=====

Record 3
Below is a crystal of BeCr2Cd relaxed with PBEsol, with properties calculated at the SCAN level.

Cell: 3.007 3.007 5.601 Å, 90.00 90.00 90.00°
Space group P4/mmm (No. 123)
Inequivalent atoms, fractional coordinates:
Be 0.000 0.000 0.000
Cr 0.500 0.500 0.175
Cd 0.000 0.000 0.500

Values from the calculation:
Energy of formation from the pure elements in eV per atom: 0.38

=====

Record 4
Below is a crystal of Co2BiAu2 relaxed with PBEsol, with properties calculated at the SCAN level.

Cell: 3.327 3.327 16.015 Å, 90.00 90.00 90.00°
Space group I4/mmm (No. 139)
Inequivalent atoms, fractional coordinates:
Co 0.000 0.500 0.250
Bi 0.000 0.000 0.000
Au 0.000 0.000 0.376

Values from the calculation:
Energy of formation from the pure elements in eV per atom: 0.33

=====

Calculated total energy for every record listed, in sequence, given in eV/atom: -37.80 -53.68 -17.50 -49.97.